Model w:
Density functional theory data (PBE-GGA) for a relaxed FePbBr2 crystal.

Computed properties:
SG   Cmm2 (35)

a b c (Å): 3.4739 3.4739 8.7061
angles (deg): 90.00 90.00 96.67
Fractional coordinates of all 4 atoms:
Br (0.0000, 0.0000, 0.9574)
Br (0.5000, 0.5000, 0.3404)
Fe (0.0000, 0.0000, 0.4799)
Pb (0.5000, 0.5000, 0.7223)

***

Model x:
Density functional theory data (PBE-GGA) for a relaxed FePbBr2 crystal.

Computed properties:
SG   Fm-3m (225)

a b c (Å): 5.2358 5.2358 5.2358
angles (deg): 60.00 60.00 60.00
Fractional coordinates of all 4 atoms:
Pb (0.5000, 0.5000, 0.5000)
Fe (0.0000, 0.0000, 0.0000)
Br (0.2500, 0.2500, 0.2500)
Br (0.7500, 0.7500, 0.7500)

***

Relative energies, kJ/mol of atoms: model w 0.0; model x 22.3.

***

Model w:
Density functional theory data (PBE-GGA) for a relaxed LaTa2Pt crystal.

Computed properties:
SG   C2/m (12)

a b c (Å): 5.7249 5.7249 5.2342
angles (deg): 75.69 75.69 30.46
Fractional coordinates of all 4 atoms:
La (0.2500, 0.2500, 0.2500)
Pt (0.7500, 0.7500, 0.7500)
Ta (0.0304, 0.0304, 0.9565)
Ta (0.4696, 0.4696, 0.5435)

***

Model x:
Density functional theory data (PBE-GGA) for a relaxed LaTa2Pt crystal.

Computed properties:
SG   R3m (160)

a b c (Å): 9.8496 9.8496 9.8496
angles (deg): 18.64 18.64 18.64
Fractional coordinates of all 4 atoms:
La (0.4970, 0.4970, 0.4970)
Pt (0.7375, 0.7375, 0.7375)
Ta (0.0044, 0.0044, 0.0044)
Ta (0.2611, 0.2611, 0.2611)

***

Relative energies, kJ/mol of atoms: model w 0.0; model x 13.2.